# AcCe2Rh2, optimized geometry, DFT PBE
# total DFT energy (no corrections): -6.6323 eV/atom
# crystal system: monoclinic
# energy above the lowest structure with this stoichiometry: 83 meV per atom
# space-group type: C2/m (12)
# density of states at the Fermi level: 1.984 states/eV/atom
# calculated density: 9.30 g/cm3
data_AcCe2Rh2
_space_group_name_H-M_alt 'P 1'
_space_group_IT_number 1
_cell_length_a 4.519
_cell_length_b 4.519
_cell_length_c 6.814
_cell_angle_alpha 106.88
_cell_angle_beta 106.88
_cell_angle_gamma 86.84
loop_
_space_group_symop_operation_xyz
'x,y,z'
loop_
_atom_site_label
_atom_site_fract_x
_atom_site_fract_y
_atom_site_fract_z
Ac1 0.000 0.000 0.000
Ce1 0.228 0.772 0.500
Ce2 0.772 0.228 0.500
Rh1 0.425 0.425 0.782
Rh2 0.575 0.575 0.218

# Sr2Cd3Ga, optimized geometry, DFT PBE
# total DFT energy (no corrections): -1.8744 eV/atom
# crystal system: orthorhombic
# energy above the lowest structure with this stoichiometry: 22 meV per atom
# space-group type: Fmmm (69)
# density of states at the Fermi level: 0.772 states/eV/atom
# calculated density: 5.61 g/cm3
data_Sr2Cd3Ga
_space_group_name_H-M_alt 'P 1'
_space_group_IT_number 1
_cell_length_a 9.994
_cell_length_b 9.528
_cell_length_c 6.389
_cell_angle_alpha 74.90
_cell_angle_beta 66.99
_cell_angle_gamma 38.11
loop_
_space_group_symop_operation_xyz
'x,y,z'
loop_
_atom_site_label
_atom_site_fract_x
_atom_site_fract_y
_atom_site_fract_z
Sr1 0.248 0.752 0.752
Sr2 0.250 0.250 0.250
Sr3 0.750 0.750 0.750
Sr4 0.752 0.248 0.248
Cd1 0.171 0.171 0.829
Cd2 0.171 0.659 0.341
Cd3 0.341 0.829 0.171
Cd4 0.659 0.171 0.829
Cd5 0.829 0.341 0.659
Cd6 0.829 0.829 0.171
Ga1 0.334 0.334 0.666
Ga2 0.666 0.666 0.334

# Mg3ZnPt, optimized geometry, DFT PBE
# total DFT energy (no corrections): -2.5747 eV/atom
# crystal system: cubic
# energy above the lowest structure with this stoichiometry: 298 meV per atom
# space-group type: Pm-3m (221)
# density of states at the Fermi level: 0.352 states/eV/atom
# calculated density: 4.38 g/cm3
data_Mg3ZnPt
_space_group_name_H-M_alt 'P 1'
_space_group_IT_number 1
_cell_length_a 5.017
_cell_length_b 5.017
_cell_length_c 5.017
_cell_angle_alpha 90.00
_cell_angle_beta 90.00
_cell_angle_gamma 90.00
loop_
_space_group_symop_operation_xyz
'x,y,z'
loop_
_atom_site_label
_atom_site_fract_x
_atom_site_fract_y
_atom_site_fract_z
Mg1 0.000 0.000 0.500
Mg2 0.000 0.500 0.000
Mg3 0.500 0.000 0.000
Zn1 0.500 0.500 0.500
Pt1 0.000 0.000 0.000

# BaPPb2, optimized geometry, DFT PBE
# total DFT energy (no corrections): -3.7301 eV/atom
# crystal system: tetragonal
# space-group type: P4/mmm (123)
# density of states at the Fermi level: 0.539 states/eV/atom
# calculated density: 7.91 g/cm3
data_BaPPb2
_space_group_name_H-M_alt 'P 1'
_space_group_IT_number 1
_cell_length_a 4.060
_cell_length_b 4.060
_cell_length_c 7.418
_cell_angle_alpha 90.00
_cell_angle_beta 90.00
_cell_angle_gamma 90.00
loop_
_space_group_symop_operation_xyz
'x,y,z'
loop_
_atom_site_label
_atom_site_fract_x
_atom_site_fract_y
_atom_site_fract_z
Ba1 0.000 0.000 0.000
P1 0.000 0.000 0.500
Pb1 0.500 0.500 0.306
Pb2 0.500 0.500 0.694

# Ce2ThAu2, optimized geometry, DFT PBE
# total DFT energy (no corrections): -5.6268 eV/atom
# crystal system: tetragonal
# energy above the lowest structure with this stoichiometry: 0 meV per atom
# space-group type: P4/mbm (127)
# density of states at the Fermi level: 2.520 states/eV/atom
# calculated density: 11.24 g/cm3
data_Ce2ThAu2
_space_group_name_H-M_alt 'P 1'
_space_group_IT_number 1
_cell_length_a 8.480
_cell_length_b 8.480
_cell_length_c 3.723
_cell_angle_alpha 90.00
_cell_angle_beta 90.00
_cell_angle_gamma 90.00
loop_
_space_group_symop_operation_xyz
'x,y,z'
loop_
_atom_site_label
_atom_site_fract_x
_atom_site_fract_y
_atom_site_fract_z
Ce1 0.171 0.329 0.000
Ce2 0.329 0.829 0.000
Ce3 0.671 0.171 0.000
Ce4 0.829 0.671 0.000
Th1 0.000 0.000 0.500
Th2 0.500 0.500 0.500
Au1 0.125 0.625 0.500
Au2 0.375 0.125 0.500
Au3 0.625 0.875 0.500
Au4 0.875 0.375 0.500

# U3Bi4Rh3, optimized geometry, DFT PBE
# total DFT energy (no corrections): -7.3783 eV/atom
# crystal system: cubic
# space-group type: I-43d (220)
# density of states at the Fermi level: 2.455 states/eV/atom
# calculated density: 13.13 g/cm3
data_U3Bi4Rh3
_space_group_name_H-M_alt 'P 1'
_space_group_IT_number 1
_cell_length_a 8.485
_cell_length_b 8.485
_cell_length_c 8.485
_cell_angle_alpha 109.47
_cell_angle_beta 109.47
_cell_angle_gamma 109.47
loop_
_space_group_symop_operation_xyz
'x,y,z'
loop_
_atom_site_label
_atom_site_fract_x
_atom_site_fract_y
_atom_site_fract_z
U1 0.125 0.750 0.875
U2 0.250 0.625 0.375
U3 0.375 0.250 0.625
U4 0.625 0.375 0.250
U5 0.750 0.875 0.125
U6 0.875 0.125 0.750
Bi1 0.000 0.321 0.500
Bi2 0.000 0.821 0.500
Bi3 0.179 0.179 0.179
Bi4 0.321 0.500 0.000
Bi5 0.500 0.000 0.321
Bi6 0.500 0.000 0.821
Bi7 0.679 0.679 0.679
Bi8 0.821 0.500 0.000
Rh1 0.125 0.875 0.250
Rh2 0.250 0.125 0.875
Rh3 0.375 0.625 0.750
Rh4 0.625 0.750 0.375
Rh5 0.750 0.375 0.625
Rh6 0.875 0.250 0.125

# TaTeIO2, optimized geometry, DFT PBE
# total DFT energy (no corrections): -4.7626 eV/atom
# crystal system: tetragonal
# energy above the lowest structure with this stoichiometry: 1459 meV per atom
# formation energy without anion corrections: 2.6 eV/f.u.
# space-group type: P4/mmm (123)
# density of states at the Fermi level: 0.931 states/eV/atom
# calculated density: 6.07 g/cm3
data_TaTeIO2
_space_group_name_H-M_alt 'P 1'
_space_group_IT_number 1
_cell_length_a 4.077
_cell_length_b 4.077
_cell_length_c 7.689
_cell_angle_alpha 90.00
_cell_angle_beta 90.00
_cell_angle_gamma 90.00
loop_
_space_group_symop_operation_xyz
'x,y,z'
loop_
_atom_site_label
_atom_site_fract_x
_atom_site_fract_y
_atom_site_fract_z
Ta1 0.000 0.000 0.000
Te1 0.500 0.500 0.500
I1 0.500 0.500 0.000
O1 0.000 0.500 0.500
O2 0.500 0.000 0.500

# Pr2HoAg2, optimized geometry, DFT PBE
# total DFT energy (no corrections): -4.1152 eV/atom
# crystal system: orthorhombic
# energy above the lowest structure with this stoichiometry: 28 meV per atom
# space-group type: Cmmm (65)
# density of states at the Fermi level: 1.119 states/eV/atom
# calculated density: 7.85 g/cm3
data_Pr2HoAg2
_space_group_name_H-M_alt 'P 1'
_space_group_IT_number 1
_cell_length_a 10.861
_cell_length_b 10.861
_cell_length_c 3.609
_cell_angle_alpha 90.00
_cell_angle_beta 90.00
_cell_angle_gamma 160.79
loop_
_space_group_symop_operation_xyz
'x,y,z'
loop_
_atom_site_label
_atom_site_fract_x
_atom_site_fract_y
_atom_site_fract_z
Pr1 0.177 0.823 0.000
Pr2 0.823 0.177 0.000
Ho1 0.000 0.000 0.000
Ag1 0.420 0.580 0.500
Ag2 0.580 0.420 0.500

# Pm2Dy12Er, optimized geometry, DFT PBE
# total DFT energy (no corrections): -4.2874 eV/atom
# crystal system: tetragonal
# space-group type: P4/nbm (125)
# density of states at the Fermi level: 1.455 states/eV/atom
# calculated density: 7.80 g/cm3
data_Pm2Dy12Er
_space_group_name_H-M_alt 'P 1'
_space_group_IT_number 1
_cell_length_a 6.412
_cell_length_b 6.412
_cell_length_c 24.932
_cell_angle_alpha 90.00
_cell_angle_beta 90.00
_cell_angle_gamma 90.00
loop_
_space_group_symop_operation_xyz
'x,y,z'
loop_
_atom_site_label
_atom_site_fract_x
_atom_site_fract_y
_atom_site_fract_z
Pm1 0.250 0.750 0.229
Pm2 0.250 0.750 0.771
Pm3 0.750 0.250 0.229
Pm4 0.750 0.250 0.771
Dy1 0.064 0.564 0.385
Dy2 0.064 0.936 0.615
Dy3 0.081 0.581 0.939
Dy4 0.081 0.919 0.061
Dy5 0.250 0.250 0.161
Dy6 0.250 0.250 0.285
Dy7 0.250 0.250 0.715
Dy8 0.250 0.250 0.839
Dy9 0.419 0.581 0.061
Dy10 0.419 0.919 0.939
Dy11 0.436 0.564 0.615
Dy12 0.436 0.936 0.385
Dy13 0.564 0.064 0.615
Dy14 0.564 0.436 0.385
Dy15 0.581 0.081 0.061
Dy16 0.581 0.419 0.939
Dy17 0.750 0.750 0.161
Dy18 0.750 0.750 0.285
Dy19 0.750 0.750 0.715
Dy20 0.750 0.750 0.839
Dy21 0.919 0.081 0.939
Dy22 0.919 0.419 0.061
Dy23 0.936 0.064 0.385
Dy24 0.936 0.436 0.615
Er1 0.250 0.750 0.500
Er2 0.750 0.250 0.500

# BeMoCl2, optimized geometry, DFT PBE
# total DFT energy (no corrections): -4.5009 eV/atom
# crystal system: trigonal
# energy above the lowest structure with this stoichiometry: 366 meV per atom
# formation energy without anion corrections: 0.2 eV/f.u.
# space-group type: R-3m (166)
# density of states at the Fermi level: 0.627 states/eV/atom
# calculated density: 4.86 g/cm3
data_BeMoCl2
_space_group_name_H-M_alt 'P 1'
_space_group_IT_number 1
_cell_length_a 7.726
_cell_length_b 7.726
_cell_length_c 7.726
_cell_angle_alpha 22.68
_cell_angle_beta 22.68
_cell_angle_gamma 22.68
loop_
_space_group_symop_operation_xyz
'x,y,z'
loop_
_atom_site_label
_atom_site_fract_x
_atom_site_fract_y
_atom_site_fract_z
Be1 0.000 0.000 0.000
Mo1 0.500 0.500 0.500
Cl1 0.391 0.391 0.391
Cl2 0.609 0.609 0.609

# Sr5OsN4F2, optimized geometry, DFT PBE
# total DFT energy (no corrections): -5.8862 eV/atom
# crystal system: orthorhombic
# formation energy without anion corrections: -14.0 eV/f.u.
# space-group type: Amm2 (38)
# density of states at the Fermi level: 0.321 states/eV/atom
# calculated density: 5.24 g/cm3
data_Sr5OsN4F2
_space_group_name_H-M_alt 'P 1'
_space_group_IT_number 1
_cell_length_a 7.495
_cell_length_b 5.766
_cell_length_c 5.766
_cell_angle_alpha 113.30
_cell_angle_beta 90.00
_cell_angle_gamma 90.00
loop_
_space_group_symop_operation_xyz
'x,y,z'
loop_
_atom_site_label
_atom_site_fract_x
_atom_site_fract_y
_atom_site_fract_z
Sr1 0.000 0.000 0.000
Sr2 0.279 0.309 0.679
Sr3 0.279 0.679 0.309
Sr4 0.721 0.309 0.679
Sr5 0.721 0.679 0.309
Os1 0.500 0.017 0.017
N1 0.294 0.183 0.183
N2 0.500 0.651 0.935
N3 0.500 0.935 0.651
N4 0.706 0.183 0.183
F1 0.000 0.021 0.565
F2 0.000 0.565 0.021

# ErNi2B2, optimized geometry, DFT PBE
# total DFT energy (no corrections): -6.4672 eV/atom
# crystal system: monoclinic
# space-group type: C2/c (15)
# density of states at the Fermi level: 0.475 states/eV/atom
# calculated density: 8.48 g/cm3
data_ErNi2B2
_space_group_name_H-M_alt 'P 1'
_space_group_IT_number 1
_cell_length_a 4.933
_cell_length_b 4.933
_cell_length_c 6.860
_cell_angle_alpha 120.61
_cell_angle_beta 120.61
_cell_angle_gamma 64.00
loop_
_space_group_symop_operation_xyz
'x,y,z'
loop_
_atom_site_label
_atom_site_fract_x
_atom_site_fract_y
_atom_site_fract_z
Er1 0.118 0.882 0.750
Er2 0.882 0.118 0.250
Ni1 0.278 0.467 0.300
Ni2 0.467 0.278 0.800
Ni3 0.533 0.722 0.200
Ni4 0.722 0.533 0.700
B1 0.155 0.505 0.977
B2 0.495 0.845 0.523
B3 0.505 0.155 0.477
B4 0.845 0.495 0.023